Material: Sr2TaTe4
Method: DFT, PBE
State: optimized geometry

Summary:
Fermi-level density of states   0.4001 states/eV per atom
VASP energy   -4.79 eV/atom

Cell lengths 9.2666, 9.2666, 9.2666 Å; angles 146.08, 146.08, 48.72 degrees
With the nearest neighbours (Å) after each atom.
Positions (direct):
Sr 0.1384 0.1384 0.0000  5 Te 3.23-3.57
Sr 0.8616 0.8616 0.0000  5 Te 3.23-3.57
Ta 0.5000 0.5000 0.0000  6 Te 2.70-2.88
Te 0.0000 0.5000 0.5000  2 Ta 2.70
Te 0.3297 0.3297 0.0000  1 Ta 2.88
Te 0.5000 0.0000 0.5000  2 Ta 2.70
Te 0.6703 0.6703 0.0000  1 Ta 2.88